[1]
Material: CuRh2Pb
Method: DFT, PBE
State: relaxed

Cell lengths 8.1975, 8.1975, 8.1975 Å; angles 22.05, 22.05, 22.05 degrees
Atoms (fractional coordinates):
Cu  0.2500  0.2500  0.2500
Pb  0.7500  0.7500  0.7500
Rh  0.9945  0.9945  0.9945
Rh  0.5055  0.5055  0.5055

Values from the calculation:
The value obtained for the density is 11.6 g/cm3. The calculation puts the calculated formation energy at 330 meV per atom. Its crystal system is trigonal. The total energy is -5.30 eV/atom. As for the calculated volume: 17.02 Å³ per atom. As for the space group: R-3m, No. 166.

[2]
Material: SmCuRhPb
Method: DFT, PBE
State: relaxed

Cell lengths 4.8493, 4.8493, 4.8493 Å; angles 60.00, 60.00, 60.00 degrees
Atoms (fractional coordinates):
Pb  0.5000  0.5000  0.5000
Rh  0.2500  0.2500  0.2500
Cu  0.7500  0.7500  0.7500
Sm  0.0000  0.0000  0.0000

Values from the calculation:
The value obtained for the density is 10.8 g/cm3. The calculation puts the calculated formation energy at -304 meV per atom. Its crystal system is cubic. The total energy is -5.27 eV/atom. As for the calculated volume: 20.16 Å³ per atom. As for the space group: F-43m, No. 216.

[3]
Material: ThCuRhPb
Method: DFT, PBE
State: relaxed

Cell lengths 4.9158, 4.9158, 4.9158 Å; angles 60.00, 60.00, 60.00 degrees
Atoms (fractional coordinates):
Pb  0.5000  0.5000  0.5000
Rh  0.7500  0.7500  0.7500
Cu  0.2500  0.2500  0.2500
Th  0.0000  0.0000  0.0000

Values from the calculation:
The value obtained for the density is 12.0 g/cm3. The calculation puts the calculated formation energy at -334 meV per atom. Its crystal system is cubic. The total energy is -5.98 eV/atom. As for the calculated volume: 21.00 Å³ per atom. As for the space group: F-43m, No. 216.

Among the records above, which one has the lowest calculated volume? CuRh2Pb

Please write out number 3 again, unchanged.
Material: ThCuRhPb
Method: DFT, PBE
State: relaxed

Cell lengths 4.9158, 4.9158, 4.9158 Å; angles 60.00, 60.00, 60.00 degrees
Atoms (fractional coordinates):
Pb  0.5000  0.5000  0.5000
Rh  0.7500  0.7500  0.7500
Cu  0.2500  0.2500  0.2500
Th  0.0000  0.0000  0.0000

Values from the calculation:
The value obtained for the density is 12.0 g/cm3. The calculation puts the calculated formation energy at -334 meV per atom. Its crystal system is cubic. The total energy is -5.98 eV/atom. As for the calculated volume: 21.00 Å³ per atom. As for the space group: F-43m, No. 216.